1.
DFT (PBE-GGA) results for a relaxed Ce2Dy3UP6 crystal.

a = 8.9902 Å, b = 8.9902 Å, c = 8.0549 Å
α = 102.97°, β = 102.97°, γ = 25.80°
Positions (direct):
Ce 0.1658 0.1658 0.3328
Ce 0.8342 0.8342 0.6672
Dy 0.1680 0.1680 0.8331
Dy 0.5000 0.5000 0.5000
Dy 0.8320 0.8320 0.1669
U 0.5000 0.5000 0.0000
P 0.0018 0.0018 0.7563
P 0.3338 0.3338 0.4147
P 0.3358 0.3358 0.9211
P 0.6642 0.6642 0.0789
P 0.6662 0.6662 0.5853
P 0.9982 0.9982 0.2437

Results
E	-7.25	eV/atom
N(E_F)	1.283	states/eV per atom

---

2.
DFT (PBE-GGA) results for a relaxed Ce3Dy2YP6 crystal.

a = 7.0162 Å, b = 7.0162 Å, c = 6.9995 Å
α = 99.62°, β = 99.62°, γ = 120.01°
Positions (direct):
Ce 0.0000 0.0000 0.0000
Ce 0.3334 0.6666 0.0000
Ce 0.6666 0.3334 0.0000
Dy 0.1667 0.8333 0.5000
Dy 0.8333 0.1667 0.5000
Y 0.5000 0.5000 0.5000
P 0.0839 0.4176 0.2528
P 0.2487 0.2487 0.7472
P 0.4176 0.0839 0.2528
P 0.5824 0.9161 0.7472
P 0.7513 0.7513 0.2528
P 0.9161 0.5824 0.7472

Results
E	-7.06	eV/atom
N(E_F)	1.143	states/eV per atom

---

3.
DFT (PBE-GGA) results for a relaxed CeDy3Y2P6 crystal.

a = 6.9592 Å, b = 6.9592 Å, c = 6.9636 Å
α = 99.59°, β = 99.59°, γ = 119.99°
Positions (direct):
Ce 0.0000 0.0000 0.0000
Dy 0.1667 0.8333 0.5000
Dy 0.5000 0.5000 0.5000
Dy 0.8333 0.1667 0.5000
Y 0.3334 0.6666 0.0000
Y 0.6666 0.3334 0.0000
P 0.0836 0.4163 0.2511
P 0.2492 0.2492 0.7501
P 0.4163 0.0836 0.2511
P 0.5837 0.9164 0.7489
P 0.7508 0.7508 0.2499
P 0.9164 0.5837 0.7489

Results
E	-7.03	eV/atom
N(E_F)	0.434	states/eV per atom

---

4.
DFT (PBE-GGA) results for a relaxed Ce2DyY3P6 crystal.

a = 6.9901 Å, b = 6.9901 Å, c = 6.9815 Å
α = 99.61°, β = 99.61°, γ = 120.00°
Positions (direct):
Ce 0.1666 0.8334 0.0000
Ce 0.8334 0.1666 0.0000
Dy 0.5000 0.5000 0.0000
Y 0.0000 0.0000 0.5000
Y 0.3332 0.6668 0.5000
Y 0.6668 0.3332 0.5000
P 0.0838 0.4166 0.7497
P 0.2512 0.2512 0.2515
P 0.4166 0.0838 0.7497
P 0.5834 0.9162 0.2503
P 0.7488 0.7488 0.7485
P 0.9162 0.5834 0.2503

Results
E	-7.28	eV/atom
N(E_F)	0.817	states/eV per atom

---

5.
DFT (PBE-GGA) results for a relaxed CeDy2YP4 crystal.

a = 6.9676 Å, b = 4.0285 Å, c = 6.9694 Å
α = 90.00°, β = 109.41°, γ = 90.00°
Positions (direct):
Ce 0.0000 0.0000 0.0000
Dy 0.0000 0.5000 0.5000
Dy 0.5000 0.0000 0.5000
Y 0.5000 0.5000 0.0000
P 0.2496 0.0000 0.7495
P 0.2514 0.5000 0.2519
P 0.7486 0.5000 0.7481
P 0.7504 0.0000 0.2505

Results
E	-7.00	eV/atom
N(E_F)	0.673	states/eV per atom

---

6.
DFT (PBE-GGA) results for a relaxed CeDyY2P4 crystal.

a = 6.9707 Å, b = 4.0306 Å, c = 6.9725 Å
α = 90.00°, β = 109.41°, γ = 90.00°
Positions (direct):
Ce 0.0000 0.0000 0.0000
Dy 0.0000 0.5000 0.5000
Y 0.5000 0.0000 0.5000
Y 0.5000 0.5000 0.0000
P 0.2494 0.0000 0.7497
P 0.2509 0.5000 0.2514
P 0.7491 0.5000 0.7486
P 0.7506 0.0000 0.2503

Results
E	-7.24	eV/atom
N(E_F)	0.688	states/eV per atom

---

7.
DFT (PBE-GGA) results for a relaxed Ce2DyYP4 crystal.

a = 7.0000 Å, b = 4.0512 Å, c = 7.0172 Å
α = 90.00°, β = 109.52°, γ = 90.00°
Positions (direct):
Ce 0.0000 0.0000 0.0000
Ce 0.0000 0.5000 0.5000
Dy 0.5000 0.0000 0.5000
Y 0.5000 0.5000 0.0000
P 0.2525 0.0000 0.7505
P 0.2529 0.5000 0.2513
P 0.7475 0.0000 0.2495
P 0.7471 0.5000 0.7487

Results
E	-7.14	eV/atom
N(E_F)	1.117	states/eV per atom

---

8.
DFT (PBE-GGA) results for a relaxed Ce2DyZrP4 crystal.

a = 6.8710 Å, b = 3.9656 Å, c = 6.8776 Å
α = 90.00°, β = 109.38°, γ = 90.00°
Positions (direct):
Ce 0.0000 0.0000 0.0000
Ce 0.0000 0.5000 0.5000
Dy 0.5000 0.0000 0.5000
Zr 0.5000 0.5000 0.0000
P 0.2597 0.5000 0.2451
P 0.2645 0.0000 0.7622
P 0.7355 0.0000 0.2378
P 0.7403 0.5000 0.7549

Results
E	-7.34	eV/atom
N(E_F)	0.998	states/eV per atom

---

9.
DFT (PBE-GGA) results for a relaxed CeDy2Pa crystal.

a = 3.3457 Å, b = 3.3457 Å, c = 10.3838 Å
α = 90.00°, β = 90.00°, γ = 90.00°
Positions (direct):
Ce 0.0000 0.0000 0.0000
Dy 0.5000 0.5000 0.2660
Dy 0.5000 0.5000 0.7340
Pa 0.0000 0.0000 0.5000

Results
offset from the most stable computed form	0	meV per atom
E	-5.99	eV/atom
N(E_F)	2.313	states/eV per atom

---

10.
DFT (PBE-GGA) results for a relaxed Ce6DyPa2 crystal.

a = 5.3906 Å, b = 5.3906 Å, c = 10.8631 Å
α = 90.00°, β = 90.00°, γ = 120.00°
Positions (direct):
Ce 0.0000 0.3343 0.2650
Ce 0.0000 0.6657 0.7350
Ce 0.3343 0.0000 0.2650
Ce 0.3343 0.3343 0.7350
Ce 0.6657 0.0000 0.7350
Ce 0.6657 0.6657 0.2650
Dy 0.0000 0.0000 0.0000
Pa 0.3333 0.6667 0.5000
Pa 0.6667 0.3333 0.5000

Results
E	-6.04	eV/atom
N(E_F)	2.934	states/eV per atom

---

11.
DFT (PBE-GGA) results for a relaxed CeDy2Pa crystal.

a = 12.2876 Å, b = 12.2876 Å, c = 12.2876 Å
α = 15.40°, β = 15.40°, γ = 15.40°
Positions (direct):
Ce 0.0000 0.0000 0.0000
Dy 0.4119 0.4119 0.4119
Dy 0.5881 0.5881 0.5881
Pa 0.5000 0.5000 0.5000

Results
offset from the most stable computed form	115	meV per atom
E	-5.87	eV/atom
N(E_F)	1.798	states/eV per atom

---

12.
DFT (PBE-GGA) results for a relaxed CeDy2Pa crystal.

a = 4.7257 Å, b = 4.7257 Å, c = 5.1044 Å
α = 90.00°, β = 90.00°, γ = 90.00°
Positions (direct):
Ce 0.0000 0.0000 0.0000
Dy 0.0000 0.5000 0.5000
Dy 0.5000 0.0000 0.5000
Pa 0.5000 0.5000 0.0000

Results
offset from the most stable computed form	49	meV per atom
E	-5.94	eV/atom
N(E_F)	2.411	states/eV per atom

---

Formation enthalpy at 0 K list, top to bottom, in eV/f.u.: -17.56, -18.75, -19.29, -19.06, -12.75, -12.78, -12.51, -12.03, 0.69, 4.80, 1.15, 0.88